Nd12AgRh6 | PBE | optimized geometry

Calculated values
As for the formation enthalpy at 0 K: -0.473 eV per atom. Its magnetization is 0.0 Bohr magnetons per cell. As for the energy above the most stable polymorph in this dataset: 0 meV per atom.

Unit cell a=10.193 b=10.193 c=10.193 alpha=90.00 beta=90.00 gamma=90.00
Space group Im-3 (No. 204)
Inequivalent atoms, fractional coordinates:
Nd 0.000 0.305 0.186 x24
Ag 0.000 0.000 0.000 x2
Rh 0.000 0.133 0.500 x12


Ca2NiAgN | PBE | optimized geometry

Calculated values
The calculation puts the formation energy (no corrections) at -505.9 meV per atom. Its magnetization is 0.0 Bohr magnetons per cell.

Unit cell a=5.062 b=5.062 c=3.623 alpha=90.00 beta=90.00 gamma=90.00
Space group P4/mmm (No. 123)
Inequivalent atoms, fractional coordinates:
Ca 0.000 0.500 0.000 x2
Ni 0.000 0.000 0.500 x1
Ag 0.500 0.500 0.500 x1
N 0.000 0.000 0.000 x1


Sm8C3I3N | PBE | optimized geometry

Calculated values
The calculation puts the formation energy (no corrections) at -716.4 meV per atom. Its magnetization is 2.4 Bohr magnetons per cell.

Unit cell a=7.5638 b=7.5638 c=22.7774 alpha=90.00 beta=90.00 gamma=120.00
Space group R-3m (No. 166, hexagonal axes)
Inequivalent atoms, fractional coordinates:
Sm 0.0000 0.0000 0.2243 x6
Sm 0.0006 0.5003 0.2246 x18
C 0.0000 0.5000 0.5000 x9
I 0.0000 0.5000 0.0000 x9
N 0.0000 0.0000 0.5000 x3


SmYZn | PBE | optimized geometry

Calculated values
As for the formation enthalpy at 0 K: -0.048 eV per atom. Its magnetization is 0.0 Bohr magnetons per cell. As for the energy above the most stable polymorph in this dataset: 164 meV per atom.

Unit cell a=5.0146 b=5.0146 c=3.7398 alpha=90.00 beta=90.00 gamma=120.00
Space group P3m1 (No. 156)
Inequivalent atoms, fractional coordinates:
Sm 0.0000 0.0000 0.0000 x1
Y 0.3333 0.6667 0.4563 x1
Zn 0.6667 0.3333 0.7005 x1


Rb2BaCd9 | PBE | optimized geometry

Calculated values
As for the formation enthalpy at 0 K: -0.113 eV per atom. Its magnetization is 0.0 Bohr magnetons per cell.

Unit cell a=6.2565 b=6.2565 c=32.0714 alpha=90.00 beta=90.00 gamma=120.00
Space group R-3m (No. 166, hexagonal axes)
Inequivalent atoms, fractional coordinates:
Rb 0.0000 0.0000 0.1457 x6
Ba 0.0000 0.0000 0.0000 x3
Cd 0.0000 0.0000 0.3348 x6
Cd 0.0000 0.0000 0.5000 x3
Cd 0.0027 0.5013 0.9202 x18


LiLaCr3 | PBE | optimized geometry

Calculated values
As for the formation enthalpy at 0 K: 0.987 eV per atom. Its magnetization is 11.9 Bohr magnetons per cell. As for the energy above the most stable polymorph in this dataset: 0 meV per atom.

Unit cell a=4.673 b=4.673 c=4.673 alpha=90.00 beta=90.00 gamma=90.00
Space group Pm-3m (No. 221)
Inequivalent atoms, fractional coordinates:
Li 0.000 0.000 0.000 x1
La 0.500 0.500 0.500 x1
Cr 0.000 0.000 0.500 x3